PBE-GGA Ca2AlSb, relaxed; total moment = 0.0 Bohr magnetons per cell; ΔE_f (raw) = -0.13 eV/atom; calculated density = 3.4 g/cm3; uncorrected energy = -49.573 eV per cell; E above lowest polymorph = 0.387 eV per atom
1.0
7.682 0.000 0.000
0.000 7.682 0.000
0.000 0.000 7.682
Ca Al Sb
8 4 4
direct
0.000 0.000 0.000 Ca
0.000 0.500 0.500 Ca
0.250 0.250 0.250 Ca
0.250 0.750 0.750 Ca
0.500 0.000 0.500 Ca
0.500 0.500 0.000 Ca
0.750 0.250 0.750 Ca
0.750 0.750 0.250 Ca
0.000 0.000 0.500 Al
0.000 0.500 0.000 Al
0.500 0.000 0.000 Al
0.500 0.500 0.500 Al
0.250 0.250 0.750 Sb
0.250 0.750 0.250 Sb
0.750 0.250 0.250 Sb
0.750 0.750 0.750 Sb